This record from Alexandria describes a crystal of CrMo relaxed with PBEsol. The functional is SCAN.

Computed properties:
Uncorrected energy, eV per atom: -26.539

Unit cell a=9.416 b=2.990 c=5.975 alpha=90.00 beta=108.45 gamma=90.00
Space group Cm (No. 8)
Unique sites:
1 Cr 0.000 0.000 0.000 x2
2 Cr 0.002 0.000 0.513 x2
3 Cr 0.341 0.000 0.678 x2
4 Mo 0.166 0.500 0.835 x2
5 Mo 0.170 0.500 0.347 x2
6 Mo 0.342 0.000 0.176 x2

This record from Alexandria describes a crystal of Cr3Mo4 relaxed with PBEsol. The functional is SCAN.

Computed properties:
Polymorph energy (0 for the lowest one), meV per atom: 0
Uncorrected energy, eV per atom: -27.719

Unit cell a=3.008 b=3.008 c=21.031 alpha=90.00 beta=90.00 gamma=90.00
Space group I4/mmm (No. 139)
Unique sites:
1 Cr 0.000 0.000 0.000 x2
2 Cr 0.000 0.000 0.283 x4
3 Mo 0.000 0.000 0.148 x4
4 Mo 0.000 0.000 0.430 x4